# 1
YTaCr2In: relaxed, PBEsol.

abc: 4.910 4.910 5.156
angles: 90.00 90.00 90.00
Atoms (fractional coordinates):
Y 0.500 0.500 0.500
Cr 0.000 0.500 0.000
Cr 0.500 0.000 0.000
In 0.000 0.000 0.000
Ta 0.000 0.000 0.500

calculated formation energy = 1.5211 eV per atom
space-group type = No. 123
raw total energy = -7.05 eV/atom
magnetization = 6.70 μB/f.u.

# 2
CrInTc: relaxed, PBEsol.

abc: 4.191 4.191 4.191
angles: 60.00 60.00 60.00
Atoms (fractional coordinates):
Cr 0.750 0.750 0.750
In 0.000 0.000 0.000
Tc 0.500 0.500 0.500

calculated formation energy = 0.6658 eV per atom
space-group type = No. 216
raw total energy = -7.50 eV/atom
magnetization = 1.76 μB/f.u.

# 3
Cr2InTc: relaxed, PBEsol.

abc: 2.874 3.684 5.553
angles: 90.00 90.00 90.00
Atoms (fractional coordinates):
Cr 0.000 0.000 0.688
Cr 0.000 0.000 0.312
In 0.500 0.500 0.000
Tc 0.500 0.500 0.500

calculated formation energy = 0.2965 eV per atom
space-group type = No. 47
raw total energy = -8.39 eV/atom
magnetization = 0.00 μB/f.u.

# 4
CrInTc: relaxed, PBEsol.

abc: 2.950 4.217 4.217
angles: 120.00 90.00 90.00
Atoms (fractional coordinates):
Cr 0.100 0.000 0.000
In 0.678 0.667 0.333
Tc 0.223 0.333 0.667

calculated formation energy = 0.3658 eV per atom
space-group type = No. 156
raw total energy = -7.80 eV/atom
magnetization = 0.01 μB/f.u.

# 5
CrInTc2: relaxed, PBEsol.

abc: 4.380 4.380 4.380
angles: 60.00 60.00 60.00
Atoms (fractional coordinates):
Cr 0.500 0.500 0.500
In 0.250 0.250 0.250
Tc 0.000 0.000 0.000
Tc 0.750 0.750 0.750

calculated formation energy = 0.4115 eV per atom
space-group type = No. 216
raw total energy = -8.53 eV/atom
magnetization = 1.91 μB/f.u.

# 6
CrInTe2: relaxed, PBEsol.

abc: 3.575 3.701 8.381
angles: 102.75 102.31 90.00
Atoms (fractional coordinates):
Cr 0.452 0.452 0.904
In 0.202 0.702 0.405
Te 0.021 0.021 0.042
Te 0.825 0.325 0.650

space-group type = No. 44
raw total energy = -5.01 eV/atom
raw formation energy = 1.40 kcal/mol of atoms
magnetization = 3.11 μB/f.u.

# 7
CrInTe2: relaxed, PBEsol.

abc: 4.034 4.034 7.686
angles: 74.79 74.79 60.00
Atoms (fractional coordinates):
Cr 0.500 0.500 0.500
Te 0.233 0.233 0.302
Te 0.767 0.767 0.698
In 0.000 0.000 0.000

space-group type = No. 166
raw total energy = -5.20 eV/atom
raw formation energy = -2.96 kcal/mol of atoms
magnetization = 3.19 μB/f.u.

# 8
TlCr2In: relaxed, PBEsol.

abc: 4.052 4.052 5.442
angles: 111.85 111.85 90.00
Atoms (fractional coordinates):
Cr 0.000 0.000 0.000
Cr 0.250 0.750 0.500
In 0.500 0.500 0.000
Tl 0.750 0.250 0.500

calculated formation energy = 0.7077 eV per atom
space-group type = No. 119
raw total energy = -5.82 eV/atom
magnetization = 7.57 μB/f.u.

# 9
TlCrIn: relaxed, PBEsol.

abc: 3.191 3.191 6.653
angles: 103.88 103.88 90.00
Atoms (fractional coordinates):
Cr 0.995 0.995 0.989
In 0.352 0.352 0.705
Tl 0.653 0.653 0.306

calculated formation energy = 0.4928 eV per atom
space-group type = No. 107
raw total energy = -4.79 eV/atom
magnetization = 3.88 μB/f.u.

# 10
TlCr3In: relaxed, PBEsol.

abc: 5.075 5.075 5.075
angles: 90.00 90.00 90.00
Atoms (fractional coordinates):
Cr 0.000 0.500 0.000
Cr 0.000 0.000 0.500
Cr 0.500 0.000 0.000
Tl 0.000 0.000 0.000
In 0.500 0.500 0.500

calculated formation energy = 1.6684 eV per atom
space-group type = No. 221
raw total energy = -5.60 eV/atom
magnetization = 12.62 μB/f.u.

# 11
TlCrIn: relaxed, PBEsol.

abc: 4.590 4.590 4.590
angles: 60.00 60.00 60.00
Atoms (fractional coordinates):
Cr 0.250 0.250 0.250
In 0.000 0.000 0.000
Tl 0.500 0.500 0.500

calculated formation energy = 0.5266 eV per atom
space-group type = No. 216
raw total energy = -4.76 eV/atom
magnetization = 3.55 μB/f.u.

# 12
TlCr2In: relaxed, PBEsol.

abc: 3.189 4.732 5.545
angles: 101.19 90.00 109.69
Atoms (fractional coordinates):
Cr 0.749 0.498 0.746
Cr 0.251 0.502 0.254
In 0.000 0.000 0.500
Tl 0.500 0.000 0.000

calculated formation energy = 0.7116 eV per atom
space-group type = No. 12
raw total energy = -5.81 eV/atom
magnetization = 7.19 μB/f.u.

# 13
TlCr2In: relaxed, PBEsol.

abc: 3.132 4.187 5.737
angles: 90.00 90.00 90.00
Atoms (fractional coordinates):
Cr 0.000 0.000 0.988
Cr 0.500 0.500 0.267
In 0.000 0.000 0.461
Tl 0.500 0.500 0.784

calculated formation energy = 0.7567 eV per atom
space-group type = No. 25
raw total energy = -5.77 eV/atom
magnetization = 6.83 μB/f.u.

# 14
Cr2InW: relaxed, PBEsol.

abc: 2.936 2.936 8.416
angles: 79.96 79.96 60.00
Atoms (fractional coordinates):
Cr 0.259 0.259 0.224
Cr 0.741 0.741 0.776
In 0.500 0.500 0.500
W 0.000 0.000 0.000

calculated formation energy = 0.5508 eV per atom
space-group type = No. 166
raw total energy = -8.77 eV/atom
magnetization = 2.07 μB/f.u.

# 15
CrInW: relaxed, PBEsol.

abc: 4.231 4.231 4.231
angles: 60.00 60.00 60.00
Atoms (fractional coordinates):
Cr 0.250 0.250 0.250
In 0.000 0.000 0.000
W 0.500 0.500 0.500

calculated formation energy = 0.9462 eV per atom
space-group type = No. 216
raw total energy = -8.06 eV/atom
magnetization = 0.81 μB/f.u.